This record from the Alexandria database describes a geometry-optimized Rb3YP2O8 structure. The functional is PBE.

Computed properties:
Its calculated volume is 16.9 A^3/atom. Its spin magnetization is 0.000 μB per atom. The formation energy (no corrections) is -2.561 eV per atom. The calculated total energy comes out at -6.84 eV/atom.

a b c (Å): 5.751 5.751 8.260
angles (deg): 90.00 90.00 120.00
Atoms (fractional coordinates):
1 O 0.667 0.333 0.909
2 O 0.814 0.629 0.659
3 O 0.186 0.371 0.341
4 O 0.814 0.186 0.659
5 O 0.333 0.667 0.091
6 O 0.371 0.186 0.659
7 O 0.186 0.814 0.341
8 O 0.629 0.814 0.341
9 Rb 0.333 0.667 0.757
10 Rb 0.000 0.000 0.000
11 Rb 0.667 0.333 0.243
12 P 0.667 0.333 0.724
13 P 0.333 0.667 0.276
14 Y 0.000 0.000 0.500